# CeHfMn, relaxed, DFT PBE
# - Crystal system: orthorhombic
# - Density of states at the Fermi level: 1.20 states/eV per atom
# - ΔE_f: 0.0810 eV per atom
data_CeHfMn
_space_group_name_H-M_alt 'P m m n'
_space_group_IT_number 59
_cell_length_a 3.836
_cell_length_b 5.029
_cell_length_c 6.697
_cell_angle_alpha 90.00
_cell_angle_beta 90.00
_cell_angle_gamma 90.00
loop_
_space_group_symop_operation_xyz
'x,y,z'
'-x,-y,-z'
'-x+1/2,-y+1/2,z'
'x+1/2,y+1/2,-z'
'x+1/2,-y,-z'
'-x+1/2,y,z'
'-x,y+1/2,-z'
'x,-y+1/2,z'
loop_
_atom_site_label
_atom_site_type_symbol
_atom_site_fract_x
_atom_site_fract_y
_atom_site_fract_z
Ce1 Ce 0.250 0.250 0.097
Hf1 Hf 0.250 0.250 0.572
Mn1 Mn 0.250 0.750 0.723

=====

# CeHf2MnN4, relaxed, DFT PBE
# - ΔE_f (raw): -1084.0 kJ/mol of formula units
# - Crystal system: orthorhombic
# - Density of states at the Fermi level: 0.56 states/eV per atom
data_CeHf2MnN4
_space_group_name_H-M_alt 'C m c m'
_space_group_IT_number 63
_space_group_name_Hall '-C 2c 2'
_cell_length_a 3.216
_cell_length_b 11.025
_cell_length_c 11.047
_cell_angle_alpha 90.00
_cell_angle_beta 90.00
_cell_angle_gamma 90.00
loop_
_atom_site_label
_atom_site_type_symbol
_atom_site_fract_x
_atom_site_fract_y
_atom_site_fract_z
Ce1 Ce 0.000 0.102 0.250
Hf1 Hf 0.000 0.368 0.050
Mn1 Mn 0.000 0.160 0.750
N1 N 0.000 0.000 0.000
N2 N 0.000 0.268 0.615
N3 N 0.000 0.438 0.250

=====

# CeHfMo4, relaxed, DFT PBE
# - Crystal system: cubic
# - Density of states at the Fermi level: 0.91 states/eV per atom
# - ΔE_f: 0.0828 eV per atom
data_CeHfMo4
_space_group_name_H-M_alt 'F -4 3 m'
_space_group_IT_number 216
_space_group_name_Hall 'F -4 2 3'
_cell_length_a 7.720
_cell_length_b 7.720
_cell_length_c 7.720
_cell_angle_alpha 90.00
_cell_angle_beta 90.00
_cell_angle_gamma 90.00
loop_
_atom_site_label
_atom_site_type_symbol
_atom_site_fract_x
_atom_site_fract_y
_atom_site_fract_z
Ce1 Ce 0.000 0.000 0.000
Hf1 Hf 0.250 0.250 0.750
Mo1 Mo 0.125 0.125 0.375

=====

# Ce2HfMoN5, relaxed, DFT PBE
# - ΔE_f (raw): -1109.5 kJ/mol of formula units
# - Crystal system: orthorhombic
# - Density of states at the Fermi level: 0.67 states/eV per atom
data_Ce2HfMoN5
_space_group_name_H-M_alt 'C m c 21'
_space_group_IT_number 36
_space_group_name_Hall 'C 2c -2'
_cell_length_a 3.387
_cell_length_b 13.489
_cell_length_c 10.330
_cell_angle_alpha 90.00
_cell_angle_beta 90.00
_cell_angle_gamma 90.00
loop_
_atom_site_label
_atom_site_type_symbol
_atom_site_fract_x
_atom_site_fract_y
_atom_site_fract_z
Ce1 Ce 0.000 0.112 0.000
Ce2 Ce 0.000 0.144 0.610
Hf1 Hf 0.000 0.213 0.320
Mo1 Mo 0.000 0.475 0.775
N1 N 0.000 0.048 0.365
N2 N 0.000 0.282 0.968
N3 N 0.000 0.319 0.687
N4 N 0.000 0.369 0.314
N5 N 0.000 0.489 0.095